An optimized crystal structure of CrS2O, computed with GGA+U.

## Properties
Electronic total energy (eV/atom): -4.854

Cell and atoms, written as POSCAR:
```
CrS2O
1.0
-2.407 2.407 6.090
2.407 -2.407 6.090
2.407 2.407 -6.090
Cr S O
2 4 2
direct
0.000 0.000 0.000
0.750 0.250 0.500
0.187 0.625 0.062
0.375 0.437 0.562
0.563 0.125 0.938
0.875 0.813 0.438
0.250 0.750 0.500
0.500 0.500 0.000
```